Below is TaTcAg2O after structural relaxation, with properties calculated at the PBE level.

Cell and atoms, written as POSCAR:
```
TaTcAg2O
1.0
-0.682 4.504 -0.223
-2.541 -0.570 -3.744
-3.156 -0.369 2.199
O Ag Tc Ta
1 2 1 1
Direct
0.000 0.000 0.000
0.000 0.500 0.000
0.500 0.000 0.000
0.000 0.000 0.500
0.500 0.500 0.500
```

Space group: P4/mmm (123)
E_form (uncorrected): 0.629 eV/atom